DFT (PBE) results for a geometry-optimized Cs2PmZn3F12 structure.

Calculated values
D(E_F): 7.29 states/eV/cell
energy relative to the elements, uncorrected: -49.05 eV per formula unit
electronic total energy: -0.1670 Ha/atom

Cell: 7.7602 7.7602 7.7602 Å, 58.22 58.22 58.22°
Element x y z (fractional)
Cs: 0.1136 0.1136 0.1136
Cs: 0.8864 0.8864 0.8864
Pm: 0.5000 0.5000 0.5000
Zn: 0.0000 0.5000 0.5000
Zn: 0.5000 0.0000 0.5000
Zn: 0.5000 0.5000 0.0000
F: 0.1394 0.5913 0.5913
F: 0.1990 0.1990 0.5855
F: 0.1990 0.5855 0.1990
F: 0.4087 0.4087 0.8606
F: 0.4087 0.8606 0.4087
F: 0.4145 0.8010 0.8010
F: 0.5855 0.1990 0.1990
F: 0.5913 0.1394 0.5913
F: 0.5913 0.5913 0.1394
F: 0.8010 0.4145 0.8010
F: 0.8010 0.8010 0.4145
F: 0.8606 0.4087 0.4087